[1]
First-principles (PBE-GGA) data for LiCaZn2 after structural relaxation, as listed in Alexandria via LeMat-Bulk.

The calculation puts the final energy at -1.76 eV per atom. Its total magnetic moment is 0.000 μB per atom. The formation energy comes out at -0.142 eV/atom.

It has space group Pm (No. 6), with a = 3.4700 Å, b = 4.3492 Å, c = 6.0649 Å, α = 90.00°, β = 106.29° and γ = 90.00°. The inequivalent atoms are Li at (0.0000, 0.0000, 0.0000), Ca at (0.3066, 0.5000, 0.6208), Zn at (0.5791, 0.5000, 0.1556) and Zn at (0.6918, 0.0000, 0.3866).



[2]
First-principles (PBE-GGA) data for Li4Ca5Zn after structural relaxation, as listed in Alexandria via LeMat-Bulk.

The calculation puts the final energy at -1.93 eV per atom. Its total magnetic moment is 0.000 μB per atom. The formation energy comes out at -0.033 eV/atom.

It has space group P4/mmm (No. 123), with a = 3.8757 Å, b = 3.8757 Å, c = 19.7633 Å, α = 90.00°, β = 90.00° and γ = 90.00°. The inequivalent atoms are Li at (0.0000, 0.0000, 0.1027), Li at (0.0000, 0.0000, 0.3072), Ca at (0.5000, 0.5000, 0.0000), Ca at (0.5000, 0.5000, 0.2044), Ca at (0.5000, 0.5000, 0.4113) and Zn at (0.0000, 0.0000, 0.5000).



[3]
First-principles (PBE-GGA) data for Li3Ca4Zn after structural relaxation, as listed in Alexandria via LeMat-Bulk.

The calculation puts the final energy at -1.93 eV per atom. Its total magnetic moment is 0.000 μB per atom. The formation energy comes out at -0.049 eV/atom.

It has space group P4/mmm (No. 123), with a = 3.8681 Å, b = 3.8681 Å, c = 15.6591 Å, α = 90.00°, β = 90.00° and γ = 90.00°. The inequivalent atoms are Li at (0.0000, 0.0000, 0.0000), Li at (0.0000, 0.0000, 0.2580), Ca at (0.5000, 0.5000, 0.1283), Ca at (0.5000, 0.5000, 0.3883) and Zn at (0.0000, 0.0000, 0.5000).



[4]
First-principles (PBE-GGA) data for Li2Ca2Zn after structural relaxation, as listed in Alexandria via LeMat-Bulk.

The calculation puts the final energy at -1.88 eV per atom. Its total magnetic moment is 0.000 μB per atom. The formation energy comes out at -0.062 eV/atom.

It has space group Immm (No. 71), with a = 4.8452 Å, b = 5.5060 Å, c = 9.7532 Å, α = 90.00°, β = 90.00° and γ = 90.00°. The inequivalent atoms are Li at (0.0000, 0.2450, 0.0000), Ca at (0.0000, 0.0000, 0.3066) and Zn at (0.0000, 0.5000, 0.5000).



[5]
First-principles (PBE-GGA) data for Li8CaZn4 after structural relaxation, as listed in Alexandria via LeMat-Bulk.

The calculation puts the final energy at -1.86 eV per atom. Its total magnetic moment is 0.000 μB per atom. The formation energy comes out at -0.140 eV/atom.

It has space group I4/mmm (No. 139), with a = 9.4604 Å, b = 9.4604 Å, c = 5.2833 Å, α = 90.00°, β = 90.00° and γ = 90.00°. The inequivalent atoms are Li at (0.0000, 0.2248, 0.0000), Li at (0.0000, 0.3476, 0.5000), Ca at (0.0000, 0.0000, 0.5000) and Zn at (0.2500, 0.2500, 0.2500).



[6]
First-principles (PBE-GGA) data for LiCaZn2 after structural relaxation, as listed in Alexandria via LeMat-Bulk.

The calculation puts the final energy at -1.76 eV per atom. Its total magnetic moment is 0.000 μB per atom. The formation energy comes out at -0.142 eV/atom.

It has space group Imm2 (No. 44), with a = 4.7376 Å, b = 4.8368 Å, c = 6.7620 Å, α = 90.00°, β = 90.00° and γ = 90.00°. The inequivalent atoms are Li at (0.0000, 0.0000, 0.0000), Ca at (0.0000, 0.5000, 0.2430), Zn at (0.0000, 0.0000, 0.4860) and Zn at (0.0000, 0.5000, 0.7450).



[7]
First-principles (PBE-GGA) data for Li2CaZn10 after structural relaxation, as listed in Alexandria via LeMat-Bulk.

The calculation puts the final energy at -1.57 eV per atom. Its total magnetic moment is 0.000 μB per atom. The formation energy comes out at -0.146 eV/atom.

It has space group Fmmm (No. 69), with a = 4.9714 Å, b = 12.8792 Å, c = 13.0053 Å, α = 90.00°, β = 90.00° and γ = 90.00°. The inequivalent atoms are Li at (0.2500, 0.0000, 0.2500), Ca at (0.0000, 0.0000, 0.0000), Zn at (0.0000, 0.1077, 0.3869), Zn at (0.0000, 0.1753, 0.1796) and Zn at (0.2500, 0.2500, 0.0000).



[8]
First-principles (PBE-GGA) data for Li6CaZn6 after structural relaxation, as listed in Alexandria via LeMat-Bulk.

The calculation puts the final energy at -1.82 eV per atom. Its total magnetic moment is 0.000 μB per atom. The formation energy comes out at -0.191 eV/atom.

It has space group Immm (No. 71), with a = 5.2142 Å, b = 9.1310 Å, c = 9.3464 Å, α = 90.00°, β = 90.00° and γ = 90.00°. The inequivalent atoms are Li at (0.0000, 0.0000, 0.1548), Li at (0.0000, 0.2931, 0.0000), Li at (0.0000, 0.3549, 0.5000), Ca at (0.0000, 0.0000, 0.5000), Zn at (0.0000, 0.5000, 0.2234) and Zn at (0.2500, 0.2500, 0.2500).



[9]
First-principles (PBE-GGA) data for Li8Ca3Zn3 after structural relaxation, as listed in Alexandria via LeMat-Bulk.

The calculation puts the final energy at -1.85 eV per atom. Its total magnetic moment is 0.000 μB per atom. The formation energy comes out at -0.051 eV/atom.

It has space group Immm (No. 71), with a = 4.4472 Å, b = 10.9611 Å, c = 13.0906 Å, α = 90.00°, β = 90.00° and γ = 90.00°. The inequivalent atoms are Li at (0.0000, 0.1519, 0.1601), Li at (0.0000, 0.2088, 0.3845), Ca at (0.0000, 0.5000, 0.1899), Ca at (0.0000, 0.5000, 0.5000), Zn at (0.0000, 0.0000, 0.5000) and Zn at (0.0000, 0.3279, 0.0000).



[10]
First-principles (PBE-GGA) data for LiCaZn2 after structural relaxation, as listed in Alexandria via LeMat-Bulk.

The calculation puts the final energy at -1.71 eV per atom. Its total magnetic moment is 0.000 μB per atom. The formation energy comes out at -0.089 eV/atom.

It has space group P4/mmm (No. 123), with a = 4.6233 Å, b = 4.6233 Å, c = 4.0286 Å, α = 90.00°, β = 90.00° and γ = 90.00°. The inequivalent atoms are Li at (0.0000, 0.0000, 0.0000), Ca at (0.5000, 0.5000, 0.0000) and Zn at (0.0000, 0.5000, 0.5000).



[11]
First-principles (PBE-GGA) data for Li3CaZn after structural relaxation, as listed in Alexandria via LeMat-Bulk.

The calculation puts the final energy at -1.86 eV per atom. Its total magnetic moment is 0.000 μB per atom. The formation energy comes out at -0.054 eV/atom.

It has space group Cm (No. 8), with a = 5.9625 Å, b = 5.9679 Å, c = 7.1477 Å, α = 90.00°, β = 114.52° and γ = 90.00°. The inequivalent atoms are Li at (0.0000, 0.0000, 0.0000), Li at (0.4071, 0.2498, 0.3131), Ca at (0.3804, 0.0000, 0.7603) and Zn at (0.2944, 0.5000, 0.5878).



[12]
First-principles (PBE-GGA) data for Li4Ca2Zn3 after structural relaxation, as listed in Alexandria via LeMat-Bulk.

The calculation puts the final energy at -1.86 eV per atom. Its total magnetic moment is 0.000 μB per atom. The formation energy comes out at -0.138 eV/atom.

It has space group Fmmm (No. 69), with a = 5.4669 Å, b = 9.5529 Å, c = 14.5161 Å, α = 90.00°, β = 90.00° and γ = 90.00°. The inequivalent atoms are Li at (0.0000, 0.1675, 0.1661), Ca at (0.0000, 0.0000, 0.3759), Zn at (0.0000, 0.0000, 0.0000) and Zn at (0.2500, 0.2500, 0.0000).